# Li3MnCoO5, optimized geometry, DFT GGA+U
# Energy above the lowest structure with this stoichiometry (eV/atom): 0.066
data_Li3MnCoO5
_cell_length_a 2.933
_cell_length_b 5.058
_cell_length_c 12.519
_cell_angle_alpha 78.81
_cell_angle_beta 88.98
_cell_angle_gamma 76.32
_space_group_name_H-M_alt 'P 1'
_space_group_IT_number 1
_space_group_name_Hall 'P 1'
loop_
_atom_site_label
_atom_site_type_symbol
_atom_site_fract_x
_atom_site_fract_y
_atom_site_fract_z
Li1 Li 0.000 0.000 0.000
Li2 Li 0.099 0.802 0.697
Li3 Li 0.327 0.362 0.097
Li4 Li 0.530 0.970 0.494
Li5 Li 0.765 0.572 0.911
Li6 Li 0.883 0.188 0.294
Mn1 Mn 0.430 0.186 0.805
Mn2 Mn 0.817 0.386 0.594
Co1 Co 0.213 0.579 0.394
Co2 Co 0.621 0.775 0.190
O1 O 0.032 0.928 0.843
O2 O 0.139 0.675 0.540
O3 O 0.281 0.497 0.252
O4 O 0.376 0.288 0.938
O5 O 0.491 0.099 0.652
O6 O 0.611 0.832 0.343
O7 O 0.673 0.676 0.064
O8 O 0.816 0.453 0.749
O9 O 0.818 0.316 0.444
O10 O 0.960 0.047 0.156